(1)
Entry from the Alexandria database: SmDyTe2Se after structural relaxation (PBE).

Results
Its total DFT energy (no corrections) is -5.223 eV per atom. The calculation puts the uncorrected formation energy at -1.405 eV/atom.

a = 4.3399 Å, b = 4.3399 Å, c = 15.6168 Å
α = 90.00°, β = 90.00°, γ = 90.00°
Last column: nearest neighbours and their distance in Å.
Space group P4/nmm (No. 129, origin choice 2)
Inequivalent atoms, fractional coordinates:
Sm: 0.2500 0.2500 0.1305 [2 per cell]  4 Se 2.98, 4 Te 3.31
Dy: 0.2500 0.2500 0.5902 [2 per cell]  6 Te 3.08-3.12
Te: 0.2500 0.2500 0.3905 [2 per cell]  5 Dy 3.08-3.12
Te: 0.2500 0.2500 0.7896 [2 per cell]  1 Dy 3.11, 4 Sm 3.31
Se: 0.2500 0.7500 0.0000 [2 per cell]  4 Sm 2.98, 4 Se 3.07

---

(2)
Entry from the Alexandria database: Sm2DyTh3Se6 after structural relaxation (PBE).

Results
Its total DFT energy (no corrections) is -6.422 eV per atom. The calculation puts the uncorrected formation energy at -1.654 eV/atom.

a = 7.1232 Å, b = 12.1744 Å, c = 7.4694 Å
α = 90.00°, β = 108.03°, γ = 90.00°
Last column: nearest neighbours and their distance in Å.
Space group C2/m (No. 12)
Inequivalent atoms, fractional coordinates:
Sm: 0.0000 0.1657 0.0000 [4 per cell]  6 Se 2.92-2.93
Dy: 0.0000 0.5000 0.0000 [2 per cell]  6 Se 2.87-2.89
Th: 0.0000 0.0000 0.5000 [2 per cell]  6 Se 2.99-3.02
Th: 0.0000 0.3292 0.5000 [4 per cell]  6 Se 2.99-3.00
Se: 0.2427 0.3362 0.2379 [8 per cell]  1 Dy 2.87, 2 Sm 2.92, 3 Th 2.99-3.00
Se: 0.2458 0.5000 0.7567 [4 per cell]  1 Dy 2.89, 2 Sm 2.93, 3 Th 3.00-3.02

---

(3)
Entry from the Alexandria database: SmDy2Th3Se6 after structural relaxation (PBE).

Results
Its total DFT energy (no corrections) is -6.403 eV per atom. The calculation puts the uncorrected formation energy at -1.645 eV/atom.

a = 7.0334 Å, b = 12.0783 Å, c = 7.5286 Å
α = 90.00°, β = 107.84°, γ = 90.00°
Last column: nearest neighbours and their distance in Å.
Space group C2/m (No. 12)
Inequivalent atoms, fractional coordinates:
Sm: 0.0000 0.0000 0.0000 [2 per cell]  6 Se 2.91-2.92
Dy: 0.0000 0.3326 0.0000 [4 per cell]  6 Se 2.86-2.87
Th: 0.0000 0.1633 0.5000 [4 per cell]  6 Se 2.99-3.01
Th: 0.0000 0.5000 0.5000 [2 per cell]  6 Se 2.98-3.01
Se: 0.2385 0.5000 0.2334 [4 per cell]  2 Dy 2.86, 1 Sm 2.91, 3 Th 2.98-3.01
Se: 0.2489 0.1694 0.2376 [8 per cell]  2 Dy 2.87, 1 Sm 2.92, 3 Th 2.99-3.01

---

(4)
Entry from the Alexandria database: SmDy2ThSe4 after structural relaxation (PBE).

Results
Its total DFT energy (no corrections) is -6.115 eV per atom. The calculation puts the uncorrected formation energy at -1.705 eV/atom.

a = 7.1305 Å, b = 4.0844 Å, c = 7.2446 Å
α = 90.00°, β = 108.95°, γ = 90.00°
Last column: nearest neighbours and their distance in Å.
Space group P2/m (No. 10)
Inequivalent atoms, fractional coordinates:
Sm: 0.0000 0.0000 0.0000 [1 per cell]  6 Se 2.96
Dy: 0.0000 0.5000 0.5000 [1 per cell]  6 Se 2.86-2.87
Dy: 0.5000 0.0000 0.5000 [1 per cell]  6 Se 2.88-2.89
Th: 0.5000 0.5000 0.0000 [1 per cell]  6 Se 2.98
Se: 0.2435 0.0000 0.7371 [2 per cell]  3 Dy 2.86-2.89, 1 Sm 2.96, 2 Th 2.98
Se: 0.2518 0.5000 0.2609 [2 per cell]  3 Dy 2.87-2.88, 2 Sm 2.96, 1 Th 2.98

---

(5)
Entry from the Alexandria database: Sm4DyTh3Se8 after structural relaxation (PBE).

Results
Its total DFT energy (no corrections) is -6.297 eV per atom. The calculation puts the uncorrected formation energy at -1.696 eV/atom.

a = 8.2893 Å, b = 8.2893 Å, c = 20.7169 Å
α = 90.00°, β = 90.00°, γ = 120.00°
Last column: nearest neighbours and their distance in Å.
Space group R-3m (No. 166, hexagonal axes)
Inequivalent atoms, fractional coordinates:
Sm: 0.0000 0.0000 0.0000 [3 per cell]  6 Se 2.99
Sm: 0.0000 0.5000 0.0000 [9 per cell]  6 Se 2.92-2.93
Dy: 0.0000 0.0000 0.5000 [3 per cell]  6 Se 2.92
Th: 0.0000 0.5000 0.5000 [9 per cell]  6 Se 2.97-2.98
Se: 0.0000 0.0000 0.2521 [6 per cell]  3 Sm 2.92, 3 Th 2.98
Se: 0.0064 0.5032 0.2502 [18 per cell]  1 Dy 2.92, 3 Sm 2.93-2.99, 2 Th 2.97

---

(6)
Entry from the Alexandria database: SmDy3Th4Se8 after structural relaxation (PBE).

Results
Its total DFT energy (no corrections) is -6.407 eV per atom. The calculation puts the uncorrected formation energy at -1.651 eV/atom.

a = 8.1236 Å, b = 8.1236 Å, c = 21.2300 Å
α = 90.00°, β = 90.00°, γ = 120.00°
Last column: nearest neighbours and their distance in Å.
Space group R-3m (No. 166, hexagonal axes)
Inequivalent atoms, fractional coordinates:
Sm: 0.0000 0.0000 0.0000 [3 per cell]  6 Se 2.91
Dy: 0.0000 0.5000 0.0000 [9 per cell]  6 Se 2.87
Th: 0.0000 0.0000 0.5000 [3 per cell]  6 Se 2.97
Th: 0.0000 0.5000 0.5000 [9 per cell]  6 Se 3.01
Se: 0.0000 0.0000 0.2553 [6 per cell]  3 Dy 2.87, 3 Th 3.01
Se: 0.0042 0.5021 0.2544 [18 per cell]  2 Dy 2.87, 1 Sm 2.91, 3 Th 2.97-3.01

---

(7)
Entry from the Alexandria database: Sm2DyThSe4 after structural relaxation (PBE).

Results
Its total DFT energy (no corrections) is -6.144 eV per atom. The calculation puts the uncorrected formation energy at -1.719 eV/atom.

a = 7.1856 Å, b = 4.1267 Å, c = 7.2599 Å
α = 90.00°, β = 109.15°, γ = 90.00°
Last column: nearest neighbours and their distance in Å.
Space group P2/m (No. 10)
Inequivalent atoms, fractional coordinates:
Sm: 0.0000 0.0000 0.0000 [1 per cell]  6 Se 2.98
Sm: 0.0000 0.5000 0.5000 [1 per cell]  6 Se 2.92-2.93
Dy: 0.5000 0.0000 0.5000 [1 per cell]  6 Se 2.90-2.91
Th: 0.5000 0.5000 0.0000 [1 per cell]  6 Se 2.96
Se: 0.2496 0.0000 0.7432 [2 per cell]  1 Dy 2.91, 3 Sm 2.92-2.98, 2 Th 2.96
Se: 0.2549 0.5000 0.2579 [2 per cell]  2 Dy 2.90, 3 Sm 2.93-2.98, 1 Th 2.96

---

(8)
Entry from the Alexandria database: SmDyTl2Se4 after structural relaxation (PBE).

Results
Its total DFT energy (no corrections) is -4.884 eV per atom. The calculation puts the uncorrected formation energy at -1.385 eV/atom.

a = 7.3274 Å, b = 4.2300 Å, c = 8.1409 Å
α = 90.00°, β = 107.43°, γ = 90.00°
Last column: nearest neighbours and their distance in Å.
Space group P2/m (No. 10)
Inequivalent atoms, fractional coordinates:
Sm: 0.0000 0.0000 0.0000 [1 per cell]  6 Se 2.94
Dy: 0.5000 0.5000 0.0000 [1 per cell]  6 Se 2.90
Tl: 0.0000 0.5000 0.5000 [1 per cell]  6 Se 3.36
Tl: 0.5000 0.0000 0.5000 [1 per cell]  6 Se 3.32
Se: 0.2405 0.5000 0.2074 [2 per cell]  1 Dy 2.90, 2 Sm 2.94
Se: 0.2697 0.0000 0.7948 [2 per cell]  2 Dy 2.90, 1 Sm 2.94

---

(9)
Entry from the Alexandria database: Sm3DyTl4Se8 after structural relaxation (PBE).

Results
Its total DFT energy (no corrections) is -4.891 eV per atom. The calculation puts the uncorrected formation energy at -1.384 eV/atom.

a = 8.5037 Å, b = 8.5037 Å, c = 23.2947 Å
α = 90.00°, β = 90.00°, γ = 120.00°
Last column: nearest neighbours and their distance in Å.
Space group R-3m (No. 166, hexagonal axes)
Inequivalent atoms, fractional coordinates:
Sm: 0.0000 0.5000 0.0000 [9 per cell]  6 Se 2.94-2.95
Dy: 0.0000 0.0000 0.0000 [3 per cell]  6 Se 2.90
Tl: 0.0000 0.0000 0.5000 [3 per cell]  6 Se 3.37
Tl: 0.0000 0.5000 0.5000 [9 per cell]  6 Se 3.34
Se: 0.0000 0.0000 0.2636 [6 per cell]  3 Sm 2.94
Se: 0.0048 0.5024 0.7356 [18 per cell]  1 Dy 2.90, 2 Sm 2.95

---

(10)
Entry from the Alexandria database: Sm2DyTmSe6 after structural relaxation (PBE).

Results
Its total DFT energy (no corrections) is -5.786 eV per atom. The calculation puts the uncorrected formation energy at -1.844 eV/atom.

a = 7.2736 Å, b = 7.2736 Å, c = 19.4857 Å
α = 90.00°, β = 90.00°, γ = 120.00°
Last column: nearest neighbours and their distance in Å.
Space group R3 (No. 146, hexagonal axes)
Inequivalent atoms, fractional coordinates:
Sm: 0.0000 0.0000 0.0000 [3 per cell]  6 Se 2.90-2.98
Sm: 0.0000 0.0000 0.4993 [3 per cell]  6 Se 2.91-2.98
Dy: 0.0000 0.0000 0.1986 [3 per cell]  6 Se 2.84-2.90
Tm: 0.0000 0.0000 0.6976 [3 per cell]  6 Se 2.81-2.87
Se: 0.0377 0.3537 0.7690 [9 per cell]  1 Tm 2.81, 1 Dy 2.90, 2 Sm 2.91-2.98
Se: 0.0391 0.6803 0.2695 [9 per cell]  1 Dy 2.84, 1 Tm 2.87, 2 Sm 2.90-2.98

---

(11)
Entry from the Alexandria database: Sm3Dy2TmSe6 after structural relaxation (PBE).

Results
Its total DFT energy (no corrections) is -5.833 eV per atom. The calculation puts the uncorrected formation energy at -1.772 eV/atom.

a = 17.9954 Å, b = 4.0842 Å, c = 8.3012 Å
α = 90.00°, β = 104.37°, γ = 90.00°
Last column: nearest neighbours and their distance in Å.
Space group C2/m (No. 12)
Inequivalent atoms, fractional coordinates:
Sm: 0.0000 0.0000 0.0000 [2 per cell]  6 Se 2.94-2.97
Sm: 0.1682 0.5000 0.3331 [4 per cell]  6 Se 2.94-2.96
Dy: 0.1676 0.5000 0.8346 [4 per cell]  6 Se 2.86-2.89
Tm: 0.0000 0.0000 0.5000 [2 per cell]  6 Se 2.83-2.85
Se: 0.0016 0.5000 0.7404 [4 per cell]  2 Tm 2.85, 1 Dy 2.89, 3 Sm 2.96-2.97
Se: 0.1625 0.0000 0.5872 [4 per cell]  1 Tm 2.83, 2 Dy 2.88, 3 Sm 2.95-2.96
Se: 0.1683 0.0000 0.0777 [4 per cell]  3 Dy 2.86-2.87, 3 Sm 2.94

---

(12)
Entry from the Alexandria database: SmDy2Tm3Se6 after structural relaxation (PBE).

Results
Its total DFT energy (no corrections) is -5.737 eV per atom. The calculation puts the uncorrected formation energy at -1.717 eV/atom.

a = 17.7542 Å, b = 4.0392 Å, c = 8.1838 Å
α = 90.00°, β = 104.20°, γ = 90.00°
Last column: nearest neighbours and their distance in Å.
Space group C2/m (No. 12)
Inequivalent atoms, fractional coordinates:
Sm: 0.0000 0.0000 0.0000 [2 per cell]  6 Se 2.94-2.95
Dy: 0.1652 0.5000 0.3302 [4 per cell]  6 Se 2.86-2.91
Tm: 0.0000 0.0000 0.5000 [2 per cell]  6 Se 2.82-2.86
Tm: 0.1644 0.5000 0.8333 [4 per cell]  6 Se 2.82-2.86
Se: 0.0008 0.5000 0.7401 [4 per cell]  3 Tm 2.82, 1 Dy 2.86, 2 Sm 2.94
Se: 0.1661 0.0000 0.5863 [4 per cell]  3 Tm 2.86, 3 Dy 2.90-2.91
Se: 0.1711 0.0000 0.0811 [4 per cell]  3 Tm 2.83-2.84, 2 Dy 2.89, 1 Sm 2.95